# 1
## KMoO4 (PBE with a Hubbard U)

Data for crystalline KMoO4 at its relaxed geometry.

Results
space-group type = C2/m
uncorrected energy = -72.85 eV for the cell shown
ΔE to the lowest computed polymorph = 42.0 meV per atom
crystal system = monoclinic

Lattice parameters (Å, degrees): 7.009 7.009 5.671 99.18 99.18 55.65
Atoms (fractional coordinates):
K1 0.108 0.108 0.280
K2 0.892 0.892 0.720
Mo1 0.413 0.413 0.179
Mo2 0.587 0.587 0.821
O1 0.203 0.628 0.398
O2 0.280 0.280 0.020
O3 0.315 0.685 0.000
O4 0.372 0.797 0.602
O5 0.628 0.203 0.398
O6 0.685 0.315 0.000
O7 0.720 0.720 0.980
O8 0.797 0.372 0.602



# 2
## KMo8O12 (PBE with a Hubbard U)

Data for crystalline KMo8O12 at its relaxed geometry.

Results
space-group type = P2
uncorrected energy = -145.10 eV for the cell shown
density of states at the Fermi level = 0.08 states/eV/atom
crystal system = monoclinic

Lattice parameters (Å, degrees): 9.947 3.309 10.335 90.00 91.15 90.00
Atoms (fractional coordinates):
K1 0.000 0.000 0.000
Mo1 0.131 0.507 0.670
Mo2 0.142 0.008 0.399
Mo3 0.354 0.008 0.907
Mo4 0.376 0.508 0.176
Mo5 0.624 0.508 0.824
Mo6 0.646 0.008 0.093
Mo7 0.858 0.008 0.601
Mo8 0.869 0.507 0.330
O1 0.063 0.508 0.286
O2 0.177 0.008 0.783
O3 0.222 0.508 0.506
O4 0.266 0.508 0.012
O5 0.311 0.008 0.272
O6 0.427 0.508 0.799
O7 0.573 0.508 0.201
O8 0.689 0.008 0.728
O9 0.734 0.508 0.988
O10 0.778 0.508 0.494
O11 0.823 0.008 0.217
O12 0.937 0.508 0.714



# 3
## K2Mo3O10 (PBE with a Hubbard U)

Data for crystalline K2Mo3O10 at its relaxed geometry.

Results
space-group type = C2/c
uncorrected energy = -198.61 eV for the cell shown
ΔE to the lowest computed polymorph = 0.0 meV per atom
density of states at the Fermi level = 0.00 states/eV/atom
crystal system = monoclinic

Lattice parameters (Å, degrees): 8.325 8.325 8.961 97.84 97.84 59.61
Atoms (fractional coordinates):
K1 0.089 0.275 0.158
K2 0.275 0.089 0.658
K3 0.725 0.911 0.342
K4 0.911 0.725 0.842
Mo1 0.203 0.797 0.250
Mo2 0.314 0.474 0.486
Mo3 0.474 0.314 0.986
Mo4 0.526 0.686 0.014
Mo5 0.686 0.526 0.514
Mo6 0.797 0.203 0.750
O1 0.015 0.872 0.112
O2 0.128 0.985 0.388
O3 0.140 0.622 0.326
O4 0.181 0.564 0.641
O5 0.255 0.334 0.926
O6 0.334 0.255 0.426
O7 0.378 0.860 0.174
O8 0.383 0.566 0.088
O9 0.434 0.617 0.412
O10 0.436 0.819 0.859
O11 0.564 0.181 0.141
O12 0.566 0.383 0.588
O13 0.617 0.434 0.912
O14 0.622 0.140 0.826
O15 0.666 0.745 0.574
O16 0.745 0.666 0.074
O17 0.819 0.436 0.359
O18 0.860 0.378 0.674
O19 0.872 0.015 0.612
O20 0.985 0.128 0.888



# 4
## KMoO2 (PBE with a Hubbard U)

Data for crystalline KMoO2 at its relaxed geometry.

Results
space-group type = Fm-3m
uncorrected energy = -20.11 eV for the cell shown
density of states at the Fermi level = 0.30 states/eV/atom
crystal system = cubic

Lattice parameters (Å, degrees): 4.174 4.174 4.174 60.00 60.00 60.00
Atoms (fractional coordinates):
K1 0.000 0.000 0.000
Mo1 0.500 0.500 0.500
O1 0.250 0.250 0.250
O2 0.750 0.750 0.750



# 5
## K2Mo2O7 (PBE with a Hubbard U)

Data for crystalline K2Mo2O7 at its relaxed geometry.

Results
space-group type = P-1
uncorrected energy = -141.82 eV for the cell shown
density of states at the Fermi level = 0.00 states/eV/atom
crystal system = triclinic

Lattice parameters (Å, degrees): 7.090 7.417 7.742 81.96 69.32 86.07
Atoms (fractional coordinates):
K1 0.195 0.340 0.337
K2 0.252 0.880 0.069
K3 0.748 0.120 0.931
K4 0.805 0.660 0.663
Mo1 0.262 0.408 0.800
Mo2 0.330 0.850 0.557
Mo3 0.670 0.150 0.443
Mo4 0.738 0.592 0.200
O1 0.001 0.595 0.157
O2 0.126 0.955 0.718
O3 0.209 0.714 0.457
O4 0.330 0.269 0.976
O5 0.355 0.645 0.767
O6 0.384 0.312 0.588
O7 0.435 0.036 0.364
O8 0.565 0.964 0.636
O9 0.616 0.688 0.412
O10 0.645 0.355 0.233
O11 0.670 0.731 0.024
O12 0.791 0.286 0.543
O13 0.874 0.045 0.282
O14 0.999 0.405 0.843



# 6
## KMo4O6 (PBE with a Hubbard U)

Data for crystalline KMo4O6 at its relaxed geometry.

Results
space-group type = P4/mbm
uncorrected energy = -147.31 eV for the cell shown
density of states at the Fermi level = 0.27 states/eV/atom
crystal system = tetragonal

Lattice parameters (Å, degrees): 10.120 10.120 3.274 90.00 90.00 90.00
Atoms (fractional coordinates):
K1 0.000 0.000 0.000
K2 0.500 0.500 0.000
Mo1 0.118 0.382 0.500
Mo2 0.152 0.652 0.000
Mo3 0.348 0.152 0.000
Mo4 0.382 0.882 0.500
Mo5 0.618 0.118 0.500
Mo6 0.652 0.848 0.000
Mo7 0.848 0.348 0.000
Mo8 0.882 0.618 0.500
O1 0.048 0.743 0.500
O2 0.204 0.296 0.000
O3 0.243 0.548 0.500
O4 0.257 0.048 0.500
O5 0.296 0.796 0.000
O6 0.452 0.243 0.500
O7 0.548 0.757 0.500
O8 0.704 0.204 0.000
O9 0.743 0.952 0.500
O10 0.757 0.452 0.500
O11 0.796 0.704 0.000
O12 0.952 0.257 0.500



# 7
## K5MoO5 (PBE with a Hubbard U)

Data for crystalline K5MoO5 at its relaxed geometry.

Results
space-group type = C2/m
uncorrected energy = -52.61 eV for the cell shown
crystal system = monoclinic

Lattice parameters (Å, degrees): 6.513 6.513 7.216 107.12 107.12 44.28
Atoms (fractional coordinates):
K1 0.000 0.000 0.000
K2 0.314 0.314 0.191
K3 0.326 0.326 0.653
K4 0.674 0.674 0.347
K5 0.686 0.686 0.809
Mo1 0.000 0.000 0.500
O1 0.118 0.118 0.373
O2 0.127 0.127 0.770
O3 0.500 0.500 0.500
O4 0.873 0.873 0.230
O5 0.882 0.882 0.627



# 8
## K3Mo2O8 (PBE with a Hubbard U)

Data for crystalline K3Mo2O8 at its relaxed geometry.

Results
space-group type = R-3m
uncorrected energy = -79.06 eV for the cell shown
density of states at the Fermi level = 1.18 states/eV/atom
crystal system = trigonal

Lattice parameters (Å, degrees): 8.016 8.016 8.016 45.84 45.84 45.84
Atoms (fractional coordinates):
K1 0.000 0.000 0.000
K2 0.194 0.194 0.194
K3 0.806 0.806 0.806
Mo1 0.403 0.403 0.403
Mo2 0.597 0.597 0.597
O1 0.255 0.725 0.725
O2 0.275 0.275 0.745
O3 0.275 0.745 0.275
O4 0.320 0.320 0.320
O5 0.680 0.680 0.680
O6 0.725 0.255 0.725
O7 0.725 0.725 0.255
O8 0.745 0.275 0.275



Number 1: total moment 0.171 μB/atom. Number 2: total moment 0.905 μB/atom. Number 3: total moment 0.000 μB/atom. Number 4: total moment 0.750 μB/atom. Number 5: total moment 0.000 μB/atom. Number 6: total moment 1.000 μB/atom. Number 7: total moment 0.091 μB/atom. Number 8: total moment 0.087 μB/atom.